# 1
The following is a DFT calculation (PBE-GGA) of crystalline SrCu2Sb at its relaxed geometry.

Properties
Formation energy without anion corrections in kcal/mol of atoms: -4.56
Theoretical density in Mg/m³: 5.220
Total energy in eV per atom: -3.70
Volume in Å³ per cell: 214.1
Symmetry: No. 141
Crystal system: tetragonal

a b c (Å): 9.4801 9.4801 9.4801
angles (deg): 149.87 149.87 43.13
With the nearest neighbours (Å) after each atom.
Fractional positions:
Sr (0.3750, 0.6250, 0.7500)  4 Sb 3.48, 8 Cu 3.53
Sr (0.6250, 0.3750, 0.2500)  4 Sb 3.48, 8 Cu 3.53
Cu (0.0000, 0.0000, 0.0000)  2 Cu 2.46, 2 Sb 2.53
Cu (0.0000, 0.0000, 0.5000)  2 Cu 2.46, 2 Sb 2.53
Cu (0.0000, 0.5000, 0.0000)  2 Cu 2.46, 2 Sb 2.53
Cu (0.5000, 0.0000, 0.5000)  2 Cu 2.46, 2 Sb 2.53
Sb (0.1250, 0.8750, 0.2500)  4 Cu 2.53
Sb (0.8750, 0.1250, 0.7500)  4 Cu 2.53

=====

# 2
The following is a DFT calculation (PBE-GGA) of crystalline PrNd2Er5 at its relaxed geometry.

Properties
ΔE_f in meV/atom: 22
Theoretical density in Mg/m³: 8.129
Total energy in eV per atom: -4.62
ΔE to the lowest computed polymorph in meV per atom: 0
Volume in Å³ per cell: 517.1
Symmetry: No. 55
Crystal system: orthorhombic

a b c (Å): 7.1473 14.3087 5.0563
angles (deg): 90.00 90.00 90.00
With the nearest neighbours (Å) after each atom.
Fractional positions:
Pr (0.0000, 0.0000, 0.0000)  8 Er 3.57-3.60, 4 Nd 3.60
Pr (0.5000, 0.5000, 0.0000)  8 Er 3.57-3.60, 4 Nd 3.60
Nd (0.2459, 0.3737, 0.5000)  10 Er 3.55-3.61, 2 Pr 3.60
Nd (0.2541, 0.8737, 0.5000)  10 Er 3.55-3.61, 2 Pr 3.60
Nd (0.7459, 0.1263, 0.5000)  10 Er 3.55-3.61, 2 Pr 3.60
Nd (0.7541, 0.6263, 0.5000)  10 Er 3.55-3.61, 2 Pr 3.60
Er (0.0000, 0.5000, 0.0000)  6 Er 3.56-3.59, 4 Nd 3.57, 2 Pr 3.57
Er (0.0039, 0.7487, 0.0000)  7 Er 3.56-3.58, 4 Nd 3.56-3.58, 1 Pr 3.60
Er (0.2476, 0.1257, 0.5000)  4 Nd 3.55-3.61, 6 Er 3.56-3.59, 2 Pr 3.57
Er (0.2524, 0.6257, 0.5000)  4 Nd 3.55-3.61, 6 Er 3.56-3.59, 2 Pr 3.57
Er (0.4961, 0.2487, 0.0000)  7 Er 3.56-3.58, 4 Nd 3.56-3.58, 1 Pr 3.60
Er (0.5000, 0.0000, 0.0000)  6 Er 3.56-3.59, 4 Nd 3.57, 2 Pr 3.57
Er (0.5039, 0.7513, 0.0000)  7 Er 3.56-3.58, 4 Nd 3.56-3.58, 1 Pr 3.60
Er (0.7476, 0.3743, 0.5000)  4 Nd 3.55-3.61, 6 Er 3.56-3.59, 2 Pr 3.57
Er (0.7524, 0.8743, 0.5000)  4 Nd 3.55-3.61, 6 Er 3.56-3.59, 2 Pr 3.57
Er (0.9961, 0.2513, 0.0000)  7 Er 3.56-3.58, 4 Nd 3.56-3.58, 1 Pr 3.60

=====

# 3
The following is a DFT calculation (PBE-GGA) of crystalline ZrFe2Cl at its relaxed geometry.

Properties
Formation energy without anion corrections in kcal/mol of atoms: 2.96
Theoretical density in Mg/m³: 6.126
Total energy in eV per atom: -6.70
ΔE to the lowest computed polymorph in meV per atom: 290
Volume in Å³ per cell: 64.6
Symmetry: No. 8
Crystal system: monoclinic

a b c (Å): 4.8006 4.8006 5.0178
angles (deg): 111.02 111.02 37.13
With the nearest neighbours (Å) after each atom.
Fractional positions:
Zr (0.0000, 0.0000, 0.0000)  3 Cl 2.52-2.66
Fe (0.5490, 0.5490, 0.5033)  2 Fe 2.41, 2 Cl 2.54
Fe (0.8281, 0.8281, 0.3710)  2 Fe 2.41
Cl (0.2435, 0.2435, 0.8748)  3 Zr 2.52-2.66, 4 Fe 2.54-2.77

=====

# 4
The following is a DFT calculation (PBE-GGA) of crystalline LiVCr at its relaxed geometry.

Properties
ΔE_f in meV/atom: 293
Theoretical density in Mg/m³: 4.512
Total energy in eV per atom: -6.59
ΔE to the lowest computed polymorph in meV per atom: 132
Volume in Å³ per cell: 80.9
Symmetry: No. 6
Crystal system: monoclinic

a b c (Å): 2.4189 4.3235 7.7425
angles (deg): 90.00 92.67 90.00
With the nearest neighbours (Å) after each atom.
Fractional positions:
Li (0.0000, 0.0000, 0.0000)  4 Li 2.42-2.68
Li (0.3578, 0.5000, 0.8340)  4 Li 2.42-2.68, 1 Cr 2.64
V (0.3301, 0.0000, 0.3515)  1 Cr 2.32, 4 V 2.42-2.59
V (0.6934, 0.5000, 0.2109)  1 Cr 2.37, 4 V 2.42-2.59
Cr (0.6562, 0.0000, 0.6376)  1 V 2.32, 4 Cr 2.42-2.54
Cr (0.9951, 0.5000, 0.5071)  3 V 2.37-2.62, 4 Cr 2.42-2.54, 1 Li 2.64

=====

# 5
The following is a DFT calculation (PBE-GGA) of crystalline BPbSe2N at its relaxed geometry.

Properties
Formation energy without anion corrections in kcal/mol of atoms: 2.95
Theoretical density in Mg/m³: 5.908
Total energy in eV per atom: -5.01
ΔE to the lowest computed polymorph in meV per atom: 0
Volume in Å³ per cell: 109.6
Symmetry: No. 123
Crystal system: tetragonal

a b c (Å): 6.3672 6.3672 2.7034
angles (deg): 90.00 90.00 90.00
With the nearest neighbours (Å) after each atom.
Fractional positions:
B (0.0000, 0.0000, 0.0000)  2 N 1.35
Pb (0.5000, 0.5000, 0.5000)  2 Pb 2.70
Se (0.0000, 0.5000, 0.0000)  2 Se 2.70
Se (0.5000, 0.0000, 0.0000)  2 Se 2.70
N (0.0000, 0.0000, 0.5000)  2 B 1.35

=====

# 6
The following is a DFT calculation (PBE-GGA) of crystalline Zr6Zn5Hg at its relaxed geometry.

Properties
ΔE_f in meV/atom: -233
Theoretical density in Mg/m³: 7.743
Total energy in eV per atom: -5.06
Volume in Å³ per cell: 230.5
Symmetry: No. 71
Crystal system: orthorhombic

a b c (Å): 8.0499 8.0499 8.0499
angles (deg): 147.90 122.64 67.26
With the nearest neighbours (Å) after each atom.
Fractional positions:
Zr (0.0753, 0.3316, 0.7437)  7 Zn 2.92-2.98, 1 Hg 3.00, 4 Zr 3.12-3.17
Zr (0.2374, 0.0000, 0.2374)  6 Zn 2.88-3.00, 2 Hg 3.01, 4 Zr 3.17
Zr (0.4120, 0.6684, 0.7437)  7 Zn 2.92-2.98, 1 Hg 3.00, 4 Zr 3.12-3.17
Zr (0.5880, 0.3316, 0.2563)  7 Zn 2.92-2.98, 1 Hg 3.00, 4 Zr 3.12-3.17
Zr (0.7626, 0.0000, 0.7626)  6 Zn 2.88-3.00, 2 Hg 3.01, 4 Zr 3.17
Zr (0.9247, 0.6684, 0.2563)  7 Zn 2.92-2.98, 1 Hg 3.00, 4 Zr 3.12-3.17
Zn (0.0000, 0.5000, 0.5000)  8 Zr 2.88-2.94, 4 Zn 3.19
Zn (0.1709, 0.1709, 0.0000)  8 Zr 2.92-2.94, 4 Zn 3.13-3.19
Zn (0.3351, 0.8351, 0.5000)  8 Zr 2.92-3.00, 2 Zn 3.13, 2 Hg 3.14
Zn (0.6649, 0.1649, 0.5000)  8 Zr 2.92-3.00, 2 Zn 3.13, 2 Hg 3.14
Zn (0.8291, 0.8291, 0.0000)  8 Zr 2.92-2.94, 4 Zn 3.13-3.19
Hg (0.5000, 0.5000, 0.0000)  8 Zr 3.00-3.01, 4 Zn 3.14

=====

# 7
The following is a DFT calculation (PBE-GGA) of crystalline Cd2SiOs at its relaxed geometry.

Properties
Formation energy without anion corrections in kcal/mol of atoms: 6.48
Theoretical density in Mg/m³: 10.064
Total energy in eV per atom: -4.34
Volume in Å³ per cell: 73.1
Symmetry: No. 38
Crystal system: orthorhombic

a b c (Å): 4.1019 5.5096 5.5096
angles (deg): 35.96 90.00 90.00
With the nearest neighbours (Å) after each atom.
Fractional positions:
Cd (0.0000, 0.0000, 0.0000)  3 Si 2.90, 4 Os 2.94, 4 Cd 3.12
Cd (0.5000, 0.3456, 0.3456)  3 Os 2.86-2.92, 4 Si 2.96, 4 Cd 3.12
Si (0.0000, 0.7235, 0.7235)  2 Os 2.33
Os (0.5000, 0.6187, 0.6187)  2 Si 2.33

=====

# 8
The following is a DFT calculation (PBE-GGA) of crystalline LaGa3NiIr at its relaxed geometry.

Properties
ΔE_f in meV/atom: -462
Theoretical density in Mg/m³: 8.554
Total energy in eV per atom: -5.24
Volume in Å³ per cell: 232.6
Symmetry: No. 63
Crystal system: orthorhombic

a b c (Å): 6.6019 6.6019 6.4622
angles (deg): 90.00 90.00 124.34
With the nearest neighbours (Å) after each atom.
Fractional positions:
La (0.2409, 0.7591, 0.7500)  1 Ni 2.77
La (0.7591, 0.2409, 0.2500)  1 Ni 2.77
Ga (0.2167, 0.2167, 0.0000)  2 Ni 2.39, 2 Ir 2.55, 1 Ga 2.67
Ga (0.2167, 0.2167, 0.5000)  2 Ni 2.39, 2 Ir 2.55, 1 Ga 2.67
Ga (0.3269, 0.6731, 0.2500)  1 Ni 2.28, 1 Ir 2.37
Ga (0.6731, 0.3269, 0.7500)  1 Ni 2.28, 1 Ir 2.37
Ga (0.7833, 0.7833, 0.0000)  2 Ni 2.39, 2 Ir 2.55, 1 Ga 2.67
Ga (0.7833, 0.7833, 0.5000)  2 Ni 2.39, 2 Ir 2.55, 1 Ga 2.67
Ni (0.4780, 0.5220, 0.7500)  5 Ga 2.28-2.39
Ni (0.5220, 0.4780, 0.2500)  5 Ga 2.28-2.39
Ir (0.1242, 0.8758, 0.2500)  5 Ga 2.37-2.55
Ir (0.8758, 0.1242, 0.7500)  5 Ga 2.37-2.55

=====

What is the formula in the sixth record?
Zr6Zn5Hg